A relaxed structure of AgIrCl2, computed with PBE-GGA.

The structure in POSCAR format:
```
AgIrCl2
1.0
2.9178 0.0000 0.0000
-1.4589 2.5269 0.0000
0.0000 0.0000 35.6293
Ag Ir Cl
3 3 6
Cartesian
0.0000 0.0000 0.0000 Ag
0.0000 1.6846 23.7529 Ag
1.4589 0.8423 11.8764 Ag
0.0000 0.0000 17.8146 Ir
0.0000 1.6846 5.9382 Ir
1.4589 0.8423 29.6910 Ir
0.0000 0.0000 15.5969 Cl
0.0000 0.0000 20.0323 Cl
0.0000 1.6846 3.7205 Cl
0.0000 1.6846 8.1559 Cl
1.4589 0.8423 27.4733 Cl
1.4589 0.8423 31.9087 Cl
```

Output
Space-group type: No. 166
M_tot, μB per formula unit: 0.34
Energy relative to the elements, uncorrected, meV per atom: 210
ΔE to the lowest computed polymorph, eV per atom: 0.175
Calculated volume, Å³ per cell: 262.7

A relaxed structure of Mg2Cd2Ge, computed with PBE-GGA.

The structure in POSCAR format:
```
Mg2Cd2Ge
1.0
7.7623 0.0000 0.0000
0.0000 7.7623 0.0000
0.0000 0.0000 3.6797
Mg Cd Ge
4 4 2
Cartesian
1.3086 2.5725 0.0000 Mg
2.5725 6.4537 0.0000 Mg
5.1898 1.3086 0.0000 Mg
6.4537 5.1898 0.0000 Mg
1.0300 4.9111 1.8398 Cd
2.8512 1.0300 1.8398 Cd
4.9111 6.7323 1.8398 Cd
6.7323 2.8512 1.8398 Cd
0.0000 0.0000 1.8398 Ge
3.8811 3.8811 1.8398 Ge
```

Output
Space-group type: No. 127
M_tot, μB per formula unit: 0.00
ΔE to the lowest computed polymorph, eV per atom: 0.018
Calculated volume, Å³ per cell: 221.7

A relaxed structure of YRhPb2, computed with PBE-GGA.

The structure in POSCAR format:
```
YRhPb2
1.0
4.0206 0.0000 0.0000
0.0000 4.6759 0.0000
-0.9892 0.0000 5.3381
Y Rh Pb
1 1 2
Cartesian
0.0000 0.0000 0.0000 Y
1.5157 0.0000 2.6691 Rh
0.5621 2.3379 3.8636 Pb
2.4692 2.3379 1.4745 Pb
```

Output
Space-group type: No. 10
M_tot, μB per formula unit: 0.00
Calculated volume, Å³ per cell: 100.4

A relaxed structure of CsPbAu3, computed with PBE-GGA.

The structure in POSCAR format:
```
CsPbAu3
1.0
5.9421 0.0000 0.0000
0.0000 5.9421 0.0000
0.0000 0.0000 5.9421
Cs Pb Au
1 1 3
Cartesian
0.0000 0.0000 0.0000 Cs
2.9710 2.9710 2.9710 Pb
0.0000 0.0000 2.9710 Au
0.0000 2.9710 0.0000 Au
2.9710 0.0000 0.0000 Au
```

Output
Space-group type: No. 221
M_tot, μB per formula unit: 0.00
ΔE to the lowest computed polymorph, eV per atom: 1.083
Calculated volume, Å³ per cell: 209.8

A relaxed structure of LaCrTeN2, computed with PBE-GGA.

The structure in POSCAR format:
```
LaCrTeN2
1.0
4.1512 0.0000 0.0000
0.0000 4.1512 0.0000
0.0000 0.0000 5.2036
La Cr Te N
1 1 1 2
Cartesian
0.0000 0.0000 0.0000 La
2.0756 2.0756 2.6018 Cr
2.0756 2.0756 0.0000 Te
0.0000 2.0756 2.6018 N
2.0756 0.0000 2.6018 N
```

Output
Space-group type: No. 123
M_tot, μB per formula unit: 0.87
Energy relative to the elements, uncorrected, meV per atom: 92
ΔE to the lowest computed polymorph, eV per atom: 0.000
Calculated volume, Å³ per cell: 89.7

A relaxed structure of Re2Tc13, computed with PBE-GGA.

The structure in POSCAR format:
```
Re2Tc13
1.0
4.7857 0.0000 0.0000
2.3680 6.8903 0.0000
1.5874 2.7562 6.6508
Re Tc
2 13
Cartesian
1.1936 0.6929 0.0003 Re
7.5475 8.9536 6.6505 Re
1.1840 3.4451 0.0000 Tc
2.7724 6.1943 2.2315 Tc
3.5653 7.5862 4.4201 Tc
2.7776 3.4398 2.2295 Tc
3.5742 4.8285 4.4242 Tc
5.1574 7.5714 6.6500 Tc
5.1582 7.5707 2.2284 Tc
3.5828 2.0758 4.4224 Tc
3.5837 2.0751 0.0008 Tc
5.1668 4.8180 2.2267 Tc
5.9634 6.2066 4.4213 Tc
5.1758 2.0603 2.2307 Tc
5.9687 3.4522 4.4193 Tc
```

Output
Space-group type: No. 2
M_tot, μB per formula unit: 0.00
Calculated volume, Å³ per cell: 219.3

A relaxed structure of ScBeTlAu2, computed with PBE-GGA.

The structure in POSCAR format:
```
ScBeTlAu2
1.0
5.2226 0.0000 0.0000
0.0000 5.2226 0.0000
0.0000 0.0000 4.4476
Sc Be Tl Au
1 1 1 2
Cartesian
0.0000 0.0000 0.0000 Sc
2.6113 2.6113 0.0000 Be
2.6113 2.6113 2.2238 Tl
0.0000 2.6113 2.2238 Au
2.6113 0.0000 2.2238 Au
```

Output
Space-group type: No. 123
M_tot, μB per formula unit: 0.00
Calculated volume, Å³ per cell: 121.3

A relaxed structure of Pr6SbTe3As2, computed with PBE-GGA.

The structure in POSCAR format:
```
Pr6SbTe3As2
1.0
9.8003 -2.2160 0.0000
9.8003 2.2160 0.0000
-2.2466 0.0000 8.7230
Pr Sb Te As
6 1 3 2
Cartesian
-0.3665 0.0000 2.1892 Pr
5.4186 0.0000 3.7638 Pr
4.5058 0.0000 7.7900 Pr
12.8482 0.0000 0.9329 Pr
11.9354 0.0000 4.9592 Pr
17.7205 0.0000 6.5337 Pr
9.8003 0.0000 0.0000 Sb
1.3313 0.0000 7.2639 Te
8.6770 0.0000 4.3615 Te
16.0227 0.0000 1.4590 Te
2.5377 0.0000 2.9224 As
14.8163 0.0000 5.8005 As
```

Output
Space-group type: No. 12
M_tot, μB per formula unit: 0.00
Energy relative to the elements, uncorrected, meV per atom: -1477
Calculated volume, Å³ per cell: 378.9

A relaxed structure of CeDyCBr, computed with PBE-GGA.

The structure in POSCAR format:
```
CeDyCBr
1.0
3.6751 0.0000 0.0000
-1.8376 3.1828 0.0000
0.0000 0.0000 22.2370
Ce Dy C Br
3 3 3 3
Cartesian
0.0000 0.0000 0.0000 Ce
0.0000 2.1218 14.8247 Ce
1.8376 1.0609 7.4123 Ce
0.0000 0.0000 17.5133 Dy
0.0000 2.1218 10.1010 Dy
1.8376 1.0609 2.6887 Dy
0.0000 0.0000 8.8156 C
0.0000 2.1218 1.4032 C
1.8376 1.0609 16.2279 C
0.0000 0.0000 4.8818 Br
0.0000 2.1218 19.7064 Br
1.8376 1.0609 12.2941 Br
```

Output
Space-group type: No. 160
M_tot, μB per formula unit: 1.00
Energy relative to the elements, uncorrected, meV per atom: -895
Calculated volume, Å³ per cell: 260.1

A relaxed structure of La2Al4Zn3Ag, computed with PBE-GGA.

The structure in POSCAR format:
```
La2Al4Zn3Ag
1.0
4.3540 0.0000 0.0000
0.0000 4.3540 0.0000
0.0000 0.0000 10.8334
La Al Zn Ag
2 4 3 1
Cartesian
0.0000 2.1770 2.6760 La
2.1770 0.0000 8.1573 La
0.0000 0.0000 0.0000 Al
0.0000 2.1770 6.8547 Al
2.1770 0.0000 3.9787 Al
2.1770 2.1770 0.0000 Al
0.0000 2.1770 9.3758 Zn
2.1770 0.0000 1.4576 Zn
2.1770 2.1770 5.4167 Zn
0.0000 0.0000 5.4167 Ag
```

Output
Space-group type: No. 115
M_tot, μB per formula unit: 0.00
Calculated volume, Å³ per cell: 205.4

A relaxed structure of Pr2TmHf, computed with PBE-GGA.

The structure in POSCAR format:
```
Pr2TmHf
1.0
4.9867 0.0000 0.0000
0.0000 4.9867 0.0000
0.0000 0.0000 4.8418
Pr Tm Hf
2 1 1
Cartesian
0.0000 2.4934 0.0000 Pr
2.4934 0.0000 0.0000 Pr
0.0000 0.0000 2.4209 Tm
2.4934 2.4934 2.4209 Hf
```

Output
Space-group type: No. 123
M_tot, μB per formula unit: 0.00
ΔE to the lowest computed polymorph, eV per atom: 0.000
Calculated volume, Å³ per cell: 120.4

A relaxed structure of LaBe2Cr, computed with PBE-GGA.

The structure in POSCAR format:
```
LaBe2Cr
1.0
4.0008 0.0000 0.0000
-2.0004 3.4648 0.0000
0.0000 0.0000 15.6934
La Be Cr
3 6 3
Cartesian
0.0000 0.0000 0.0000 La
0.0000 2.3099 10.4623 La
2.0004 1.1549 5.2311 La
0.0000 0.0000 2.9527 Be
0.0000 0.0000 12.7407 Be
0.0000 2.3099 7.5096 Be
0.0000 2.3099 13.4149 Be
2.0004 1.1549 2.2785 Be
2.0004 1.1549 8.1838 Be
0.0000 0.0000 7.8467 Cr
0.0000 2.3099 2.6156 Cr
2.0004 1.1549 13.0778 Cr
```

Output
Space-group type: No. 166
M_tot, μB per formula unit: 2.62
ΔE to the lowest computed polymorph, eV per atom: 0.023
Calculated volume, Å³ per cell: 217.5

A relaxed structure of RbBiN2, computed with PBE-GGA.

The structure in POSCAR format:
```
RbBiN2
1.0
4.5825 0.0000 0.0000
-2.2912 3.9685 0.0000
0.0000 0.0000 21.3004
Rb Bi N
3 3 6
Cartesian
0.0000 0.0000 0.0000 Rb
0.0000 2.6457 14.2002 Rb
2.2912 1.3228 7.1001 Rb
0.0000 0.0000 10.6502 Bi
0.0000 2.6457 3.5501 Bi
2.2912 1.3228 17.7503 Bi
0.0000 0.0000 8.6754 N
0.0000 0.0000 12.6250 N
0.0000 2.6457 1.5753 N
0.0000 2.6457 5.5249 N
2.2912 1.3228 15.7755 N
2.2912 1.3228 19.7251 N
```

Output
Space-group type: No. 166
M_tot, μB per formula unit: 0.00
Energy relative to the elements, uncorrected, meV per atom: 1249
Calculated volume, Å³ per cell: 387.4

A relaxed structure of HoTlB2O6, computed with PBE-GGA.

The structure in POSCAR format:
```
HoTlB2O6
1.0
3.9087 -5.0451 0.0000
3.9087 5.0451 0.0000
-1.8143 0.0000 6.2983
Ho Tl B O
2 2 4 12
Cartesian
2.5479 4.2359 4.7237 Ho
3.4551 -4.2359 1.5746 Ho
3.4551 0.8930 1.5746 Tl
2.5479 -0.8930 4.7237 Tl
0.5561 1.6359 4.7116 B
1.4632 -1.6359 1.5624 B
4.5398 1.6359 4.7359 B
5.4470 -1.6359 1.5868 B
-0.2488 0.9734 3.8137 O
1.4808 2.0230 1.5232 O
0.6583 -0.9734 0.6646 O
1.3476 0.8819 5.5678 O
0.5736 -2.0230 4.6724 O
2.2547 -0.8819 2.4187 O
3.7483 0.8819 3.8796 O
5.4294 2.0230 1.6259 O
4.6555 -0.8819 0.7305 O
5.3447 0.9734 5.6338 O
4.5223 -2.0230 4.7751 O
6.2518 -0.9734 2.4846 O
```

Output
Space-group type: No. 15
M_tot, μB per formula unit: 0.00
Energy relative to the elements, uncorrected, meV per atom: -2307
Calculated volume, Å³ per cell: 248.4

A relaxed structure of Y2TcRu, computed with PBE-GGA.

The structure in POSCAR format:
```
Y2TcRu
1.0
7.5455 0.0000 0.0000
0.0000 7.5455 0.0000
0.0000 0.0000 5.9601
Y Tc Ru
8 4 4
Cartesian
1.8049 1.8864 0.7450 Y
1.8864 5.5776 2.2350 Y
1.8864 5.7406 5.2151 Y
1.9679 1.8864 3.7251 Y
5.5776 5.6591 3.7251 Y
5.6591 1.8049 5.2151 Y
5.6591 1.9679 2.2350 Y
5.7406 5.6591 0.7450 Y
0.0000 0.0000 2.9801 Tc
0.0000 3.7727 4.4701 Tc
3.7727 0.0000 1.4900 Tc
3.7727 3.7727 0.0000 Tc
0.0000 0.0000 0.0000 Ru
0.0000 3.7727 1.4900 Ru
3.7727 0.0000 4.4701 Ru
3.7727 3.7727 2.9801 Ru
```

Output
Space-group type: No. 122
M_tot, μB per formula unit: 0.00
Calculated volume, Å³ per cell: 339.3

A relaxed structure of K3Na12Sn, computed with PBE-GGA.

The structure in POSCAR format:
```
K3Na12Sn
1.0
5.7407 0.0000 0.0000
0.0000 5.7407 0.0000
0.0000 0.0000 19.5200
K Na Sn
3 12 1
Cartesian
0.0000 0.0000 0.0000 K
0.0000 0.0000 5.5677 K
0.0000 0.0000 13.9523 K
0.0000 2.8703 2.7456 Na
0.0000 2.8703 8.0373 Na
0.0000 2.8703 11.4827 Na
0.0000 2.8703 16.7745 Na
2.8703 0.0000 2.7456 Na
2.8703 0.0000 8.0373 Na
2.8703 0.0000 11.4827 Na
2.8703 0.0000 16.7745 Na
2.8703 2.8703 0.0000 Na
2.8703 2.8703 5.2640 Na
2.8703 2.8703 9.7600 Na
2.8703 2.8703 14.2561 Na
0.0000 0.0000 9.7600 Sn
```

Output
Space-group type: No. 123
M_tot, μB per formula unit: 0.00
Calculated volume, Å³ per cell: 643.3

A relaxed structure of U3Sn, computed with PBE-GGA.

The structure in POSCAR format:
```
U3Sn
1.0
2.9850 0.0000 0.0000
0.0000 5.2701 0.0000
0.0000 0.0000 5.6328
U Sn
3 1
Cartesian
0.0000 0.0000 0.0000 U
0.0000 2.6350 2.0069 U
1.4925 0.0000 2.8335 U
1.4925 2.6350 4.7742 Sn
```

Output
Space-group type: No. 25
M_tot, μB per formula unit: 3.63
Calculated volume, Å³ per cell: 88.6

A relaxed structure of Zr2IrRh, computed with PBE-GGA.

The structure in POSCAR format:
```
Zr2IrRh
1.0
3.1737 0.0000 0.0000
0.0000 4.5392 0.0000
-1.1655 0.0000 5.1018
Zr Ir Rh
2 1 1
Cartesian
0.0000 0.0000 0.0000 Zr
0.0533 2.2696 2.8796 Zr
1.6014 2.2696 0.4979 Ir
1.6224 0.0000 2.4031 Rh
```

Output
Space-group type: No. 6
M_tot, μB per formula unit: 0.00
Calculated volume, Å³ per cell: 73.5

A relaxed structure of SrMn2Mo, computed with PBE-GGA.

The structure in POSCAR format:
```
SrMn2Mo
1.0
3.9968 0.0000 0.0000
-1.9984 3.4613 0.0000
0.0000 0.0000 18.0916
Sr Mn Mo
3 6 3
Cartesian
0.0000 0.0000 0.0000 Sr
0.0000 2.3075 12.0611 Sr
1.9984 1.1538 6.0305 Sr
0.0000 0.0000 3.5645 Mn
0.0000 0.0000 9.5948 Mn
0.0000 2.3075 3.5642 Mn
0.0000 2.3075 15.6256 Mn
1.9984 1.1538 9.5950 Mn
1.9984 1.1538 15.6253 Mn
0.0000 0.0000 14.6506 Mo
0.0000 2.3075 8.6201 Mo
1.9984 1.1538 2.5895 Mo
```

Output
Space-group type: No. 160
M_tot, μB per formula unit: 0.05
ΔE to the lowest computed polymorph, eV per atom: 0.082
Calculated volume, Å³ per cell: 250.3

A relaxed structure of YGa3C, computed with PBE-GGA.

The structure in POSCAR format:
```
YGa3C
1.0
5.6072 0.0000 0.0000
0.0000 5.6072 0.0000
0.0000 0.0000 5.6072
Y Ga C
1 3 1
Cartesian
0.0000 0.0000 0.0000 Y
0.0000 0.0000 2.8036 Ga
0.0000 2.8036 0.0000 Ga
2.8036 0.0000 0.0000 Ga
2.8036 2.8036 2.8036 C
```

Output
Space-group type: No. 221
M_tot, μB per formula unit: 0.03
ΔE to the lowest computed polymorph, eV per atom: 1.511
Calculated volume, Å³ per cell: 176.3

Number 1: calculated total energy -3.642 eV per atom. Number 2: calculated total energy -1.843 eV per atom. Number 3: calculated total energy -5.539 eV per atom. Number 4: calculated total energy -1.819 eV per atom. Number 5: calculated total energy -6.777 eV per atom. Number 6: calculated total energy -10.630 eV per atom. Number 7: calculated total energy -3.124 eV per atom. Number 8: calculated total energy -5.771 eV per atom. Number 9: calculated total energy -6.253 eV per atom. Number 10: calculated total energy -3.565 eV per atom. Number 11: calculated total energy -5.814 eV per atom. Number 12: calculated total energy -5.280 eV per atom. Number 13: calculated total energy -4.126 eV per atom. Number 14: calculated total energy -7.311 eV per atom. Number 15: calculated total energy -7.643 eV per atom. Number 16: calculated total energy -1.459 eV per atom. Number 17: calculated total energy -9.352 eV per atom. Number 18: calculated total energy -9.137 eV per atom. Number 19: calculated total energy -7.146 eV per atom. Number 20: calculated total energy -2.989 eV per atom.